1.
The following is a DFT calculation (PBE) of a relaxed CsPbSF2 crystal.

Geometry as POSCAR:
```
CsPbSF2
1.0
4.909 0.000 0.000
0.000 4.909 0.000
0.000 0.000 5.136
Cs Pb S F
1 1 1 2
Cartesian
0.000 0.000 0.000
2.454 2.454 2.568
2.454 2.454 0.000
0.000 2.454 2.568
2.454 0.000 2.568
```

Values from the calculation:
- Uncorrected energy: -21.1 eV for the cell shown
- SG: No. 123
- Density: 5.50 g/cm3

2.
The following is a DFT calculation (PBE) of a relaxed LaPm2Nb crystal.

Geometry as POSCAR:
```
LaPm2Nb
1.0
1.678 0.969 12.077
-1.678 0.969 12.077
0.000 -1.938 12.077
La Pm Nb
1 2 1
Cartesian
0.000 0.000 0.000
0.000 0.000 15.212
0.000 0.000 21.020
0.000 0.000 18.116
```

Values from the calculation:
- Uncorrected energy: -22.1 eV for the cell shown
- SG: No. 166
- E_form: 0.6021 eV/atom
- Density: 7.35 g/cm3